[1]
Compound: CaYIn
Source: the Alexandria database
Functional: PBE
Structure: optimized geometry

a b c (Å): 8.7515 5.4760 3.9370
angles (deg): 90.00 90.00 108.18
Element x y z (fractional)
Y 0.7864 0.4330 0.9688
Y 0.4223 0.7508 0.9688
Ca 0.1409 0.1099 0.9690
Ca 0.7761 0.9278 0.4689
In 0.0891 0.5839 0.4688
In 0.4808 0.2799 0.4686

Calculated values
ΔH_f (0 K): -0.298 eV/atom
Uncorrected energy: -4.033 eV/atom
Energy relative to the lowest polymorph listed for this composition: 105 meV/atom



[2]
Compound: CaYIn
Source: the Alexandria database
Functional: PBE
Structure: optimized geometry

a b c (Å): 13.7796 3.6897 3.6890
angles (deg): 90.00 90.00 90.00
Element x y z (fractional)
Y 0.2992 0.4404 0.0379
Y 0.5847 0.4403 0.0379
Ca 0.0088 0.4401 0.0380
Ca 0.7872 0.9399 0.5381
In 0.1563 0.9404 0.5379
In 0.4452 0.9406 0.5378

Calculated values
ΔH_f (0 K): -0.311 eV/atom
Uncorrected energy: -4.046 eV/atom
Energy relative to the lowest polymorph listed for this composition: 92 meV/atom